[1]
First-principles (PBE) data for a geometry-optimized FeNi5Pt structure, as listed in the Alexandria database.

CIF file:
```
data_FeNi5Pt
_cell_length_a 7.1509
_cell_length_b 7.5607
_cell_length_c 6.4744
_cell_angle_alpha 90.00
_cell_angle_beta 90.00
_cell_angle_gamma 90.00
_symmetry_space_group_name_H-M 'I m m a'
_symmetry_Int_Tables_number 74
_symmetry_space_group_name_Hall '-I 2b 2'
loop_
_atom_site_label
_atom_site_fract_x
_atom_site_fract_y
_atom_site_fract_z
Fe1 0.2500 0.2500 0.2500
Ni1 0.0000 0.0279 0.2399
Ni2 0.0000 0.2500 0.9589
Ni3 0.2502 0.0000 0.0000
Pt1 0.0000 0.2500 0.5487
```

- crystal system = orthorhombic
- relative energy among the computed polymorphs (eV per atom) = 0.0000

[2]
First-principles (PBE) data for a geometry-optimized FeNiPt3 structure, as listed in the Alexandria database.

CIF file:
```
data_FeNiPt3
_cell_length_a 2.7100
_cell_length_b 8.1127
_cell_length_c 7.0224
_cell_angle_alpha 90.00
_cell_angle_beta 90.00
_cell_angle_gamma 90.00
_symmetry_space_group_name_H-M 'P m m n'
_symmetry_Int_Tables_number 59
loop_
_symmetry_equiv_pos_as_xyz
'x,y,z'
'-x,-y,-z'
'-x+1/2,-y+1/2,z'
'x+1/2,y+1/2,-z'
'x+1/2,-y,-z'
'-x+1/2,y,z'
'-x,y+1/2,-z'
'x,-y+1/2,z'
loop_
_atom_site_label
_atom_site_fract_x
_atom_site_fract_y
_atom_site_fract_z
Fe1 0.2500 0.2500 0.1221
Ni1 0.2500 0.2500 0.4832
Pt1 0.2500 0.5264 0.6940
Pt2 0.2500 0.7500 0.1885
```

- crystal system = orthorhombic
- relative energy among the computed polymorphs (eV per atom) = 0.1735

[3]
First-principles (PBE) data for a geometry-optimized FeNi2Pt structure, as listed in the Alexandria database.

CIF file:
```
data_FeNi2Pt
_cell_length_a 8.5853
_cell_length_b 2.6676
_cell_length_c 4.4635
_cell_angle_alpha 90.00
_cell_angle_beta 101.07
_cell_angle_gamma 90.00
_symmetry_space_group_name_H-M 'C 1 m 1'
_symmetry_Int_Tables_number 8
_symmetry_space_group_name_Hall 'C -2y'
loop_
_atom_site_label
_atom_site_fract_x
_atom_site_fract_y
_atom_site_fract_z
Fe1 0.0000 0.0000 0.0000
Ni1 0.2462 0.5000 0.2378
Ni2 0.4939 0.0000 0.4731
Pt1 0.2468 0.0000 0.7351
```

- uncorrected energy (eV/atom) = -6.62
- crystal system = monoclinic

[4]
First-principles (PBE) data for a geometry-optimized Fe4NiPt3 structure, as listed in the Alexandria database.

CIF file:
```
data_Fe4NiPt3
_cell_length_a 8.3844
_cell_length_b 3.7890
_cell_length_c 7.5638
_cell_angle_alpha 90.00
_cell_angle_beta 116.69
_cell_angle_gamma 90.00
_symmetry_space_group_name_H-M 'C 1 2/m 1'
_symmetry_Int_Tables_number 12
_symmetry_space_group_name_Hall '-C 2y'
loop_
_atom_site_label
_atom_site_fract_x
_atom_site_fract_y
_atom_site_fract_z
Fe1 0.2484 0.0000 0.3675
Fe2 0.2498 0.0000 0.8802
Ni1 0.0000 0.0000 0.0000
Pt1 0.0000 0.0000 0.5000
Pt2 0.0018 0.5000 0.2404
```

- uncorrected energy (eV/atom) = -7.42
- crystal system = monoclinic

[5]
First-principles (PBE) data for a geometry-optimized FeNi5Pt8 structure, as listed in the Alexandria database.

CIF file:
```
data_FeNi5Pt8
_cell_length_a 7.3515
_cell_length_b 7.3515
_cell_length_c 7.4589
_cell_angle_alpha 90.00
_cell_angle_beta 90.00
_cell_angle_gamma 90.00
_symmetry_space_group_name_H-M 'I -4'
_symmetry_Int_Tables_number 82
_symmetry_space_group_name_Hall 'I -4'
loop_
_atom_site_label
_atom_site_fract_x
_atom_site_fract_y
_atom_site_fract_z
Fe1 0.0000 0.0000 0.0000
Ni1 0.0000 0.5000 0.7500
Ni2 0.1108 0.2007 0.4138
Pt1 0.0656 0.3310 0.0839
Pt2 0.0999 0.1828 0.7491
```

- uncorrected energy (eV/atom) = -5.95
- crystal system = tetragonal

[6]
First-principles (PBE) data for a geometry-optimized Fe3NiPt4 structure, as listed in the Alexandria database.

CIF file:
```
data_Fe3NiPt4
_cell_length_a 8.7540
_cell_length_b 5.4676
_cell_length_c 4.6503
_cell_angle_alpha 90.00
_cell_angle_beta 90.00
_cell_angle_gamma 90.00
_symmetry_space_group_name_H-M 'P m m a'
_symmetry_Int_Tables_number 51
_symmetry_space_group_name_Hall '-P 2a 2a'
loop_
_atom_site_label
_atom_site_fract_x
_atom_site_fract_y
_atom_site_fract_z
Fe1 0.0000 0.0000 0.0000
Fe2 0.2500 0.0000 0.3385
Fe3 0.2500 0.5000 0.3365
Ni1 0.0000 0.5000 0.0000
Pt1 0.0000 0.2499 0.5000
Pt2 0.2500 0.2528 0.8529
```

- uncorrected energy (eV/atom) = -7.14
- crystal system = orthorhombic